Computed, not measured: an optimized crystal structure of K2LiMoCl6 at the PBE level of DFT.

Properties
Size of the total moment in μB per cell: 18.0
Polymorph energy (0 for the lowest one) in meV/atom: 0

Unit cell a=7.0934 b=7.0934 c=35.8873 alpha=90.00 beta=90.00 gamma=120.00
Space group R-3m (No. 166, hexagonal axes)
Symmetry-distinct sites (fractional):
K 0.0000 0.0000 0.1260 x6
K 0.0000 0.0000 0.2966 x6
Li 0.0000 0.0000 0.4145 x6
Mo 0.0000 0.0000 0.0000 x3
Mo 0.0000 0.0000 0.5000 x3
Cl 0.0076 0.5038 0.7065 x18
Cl 0.0111 0.5056 0.1261 x18

---

Computed, not measured: an optimized crystal structure of K2NaLiCl at the PBE level of DFT.

Properties
Size of the total moment in μB per cell: 0.0

Unit cell a=6.6388 b=6.6388 c=4.8028 alpha=90.00 beta=90.00 gamma=90.00
Space group P4/mmm (No. 123)
Symmetry-distinct sites (fractional):
K 0.0000 0.5000 0.0000 x2
Na 0.0000 0.0000 0.5000 x1
Li 0.5000 0.5000 0.5000 x1
Cl 0.5000 0.5000 0.0000 x1

---

Computed, not measured: an optimized crystal structure of KNaLiCl3 at the PBE level of DFT.

Properties
Size of the total moment in μB per cell: 0.1

Unit cell a=8.6096 b=4.1227 c=9.3965 alpha=90.00 beta=103.70 gamma=90.00
Space group P2_1/m (No. 11)
Symmetry-distinct sites (fractional):
K 0.1921 0.2500 0.2104 x2
Na 0.3442 0.7500 0.8599 x2
Li 0.0975 0.2500 0.6036 x2
Cl 0.1065 0.2500 0.8514 x2
Cl 0.1826 0.7500 0.5197 x2
Cl 0.4455 0.7500 0.1644 x2

---

Computed, not measured: an optimized crystal structure of KLi2NdCl6 at the PBE level of DFT.

Properties
Size of the total moment in μB per cell: 0.0

Unit cell a=6.9560 b=6.9560 c=18.8184 alpha=90.00 beta=90.00 gamma=120.00
Space group R3 (No. 146, hexagonal axes)
Symmetry-distinct sites (fractional):
K 0.0000 0.0000 0.0000 x3
Li 0.0000 0.0000 0.2164 x3
Li 0.0000 0.0000 0.7220 x3
Nd 0.0000 0.0000 0.5174 x3
Cl 0.0027 0.3610 0.4565 x9
Cl 0.0919 0.7494 0.2845 x9

---

Computed, not measured: an optimized crystal structure of K2LiNdCl6 at the PBE level of DFT.

Properties
Size of the total moment in μB per cell: 0.0
Polymorph energy (0 for the lowest one) in meV/atom: 0

Unit cell a=7.2906 b=7.5637 c=12.5910 alpha=90.00 beta=124.72 gamma=90.00
Space group P2_1/c (No. 14)
Symmetry-distinct sites (fractional):
K 0.2292 0.0622 0.2479 x4
Li 0.0000 0.0000 0.5000 x2
Nd 0.5000 0.0000 0.0000 x2
Cl 0.1521 0.2071 0.9536 x4
Cl 0.2495 0.7022 0.9550 x4
Cl 0.3314 0.0228 0.7423 x4

---

Computed, not measured: an optimized crystal structure of K2LiNdCl6 at the PBE level of DFT.

Properties
Size of the total moment in μB per cell: 0.0
Polymorph energy (0 for the lowest one) in meV/atom: 29

Unit cell a=10.5642 b=10.5642 c=10.5642 alpha=90.00 beta=90.00 gamma=90.00
Space group Fm-3m (No. 225)
Symmetry-distinct sites (fractional):
K 0.2500 0.2500 0.2500 x8
Li 0.0000 0.0000 0.0000 x4
Nd 0.0000 0.0000 0.5000 x4
Cl 0.0000 0.0000 0.2428 x24

---

no.,formation energy (no corrections) (meV/atom)
1,-1495
2,-623
3,-1836
4,-2011
5,-2069
6,-2039